(1)
Here is a relaxed structure of LiErScCr from Alexandria. Energies are from GGA-PBE.

Cell: 4.9030 4.9030 4.9030 Å, 60.00 60.00 60.00°
Each line ends with the local moment (μB).
Positions (direct):
Li 0.2500 0.2500 0.2500  -0.06
Sc 0.0000 0.0000 0.0000  -0.10
Cr 0.7500 0.7500 0.7500  3.15
Er 0.5000 0.5000 0.5000  -0.02

Calculated values
The value obtained for the formation energy is 180 meV per atom.



(2)
Here is a relaxed structure of LiSmErCr from Alexandria. Energies are from GGA-PBE.

Cell: 5.1065 5.1065 5.1065 Å, 60.00 60.00 60.00°
Each line ends with the local moment (μB).
Positions (direct):
Cr 0.5000 0.5000 0.5000  3.27
Sm 0.2500 0.2500 0.2500  -0.12
Li 0.0000 0.0000 0.0000  -0.07
Er 0.7500 0.7500 0.7500  -0.12

Calculated values
The value obtained for the formation energy is 184 meV per atom.



(3)
Here is a relaxed structure of LiTbErCr from Alexandria. Energies are from GGA-PBE.

Cell: 5.0613 5.0613 5.0613 Å, 60.00 60.00 60.00°
Each line ends with the local moment (μB).
Positions (direct):
Er 0.7500 0.7500 0.7500  -0.09
Cr 0.5000 0.5000 0.5000  3.23
Li 0.0000 0.0000 0.0000  -0.07
Tb 0.2500 0.2500 0.2500  -0.10

Calculated values
The value obtained for the formation energy is 169 meV per atom.



(4)
Here is a relaxed structure of LiYErCr from Alexandria. Energies are from GGA-PBE.

Cell: 5.0664 5.0664 5.0664 Å, 60.00 60.00 60.00°
Each line ends with the local moment (μB).
Positions (direct):
Cr 0.2500 0.2500 0.2500  3.27
Li 0.7500 0.7500 0.7500  -0.06
Y 0.0000 0.0000 0.0000  -0.06
Er 0.5000 0.5000 0.5000  -0.04

Calculated values
The value obtained for the formation energy is 170 meV per atom.



(5)
Here is a relaxed structure of ErLuCrOs from Alexandria. Energies are from GGA-PBE.

Cell: 4.8277 4.8277 4.8277 Å, 60.00 60.00 60.00°
Each line ends with the local moment (μB).
Positions (direct):
Lu 0.0000 0.0000 0.0000  -0.04
Er 0.5000 0.5000 0.5000  -0.05
Cr 0.7500 0.7500 0.7500  -3.28
Os 0.2500 0.2500 0.2500  0.02

Calculated values
The value obtained for the formation energy is -24 meV per atom.



(6)
Here is a relaxed structure of ErLuZnCr from Alexandria. Energies are from GGA-PBE.

Cell: 4.9690 4.9690 4.9690 Å, 60.00 60.00 60.00°
Each line ends with the local moment (μB).
Positions (direct):
Zn 0.0000 0.0000 0.0000  -0.05
Lu 0.2500 0.2500 0.2500  -0.04
Er 0.7500 0.7500 0.7500  -0.04
Cr 0.5000 0.5000 0.5000  3.38

Calculated values
The value obtained for the formation energy is -3 meV per atom.



(7)
Here is a relaxed structure of Er2MgCr from Alexandria. Energies are from GGA-PBE.

Cell: 3.5325 3.5325 7.8495 Å, 90.00 90.00 90.00°
Each line ends with the local moment (μB).
Positions (direct):
Er 0.0000 0.0000 0.2173  -0.05
Er 0.0000 0.0000 0.7827  -0.05
Cr 0.5000 0.5000 0.0000  3.06
Mg 0.5000 0.5000 0.5000  0.01

Calculated values
The value obtained for the formation energy is 115 meV per atom.



(8)
Here is a relaxed structure of ErMgScCr from Alexandria. Energies are from GGA-PBE.

Cell: 5.0232 5.0232 5.0232 Å, 60.00 60.00 60.00°
Each line ends with the local moment (μB).
Positions (direct):
Mg 0.2500 0.2500 0.2500  -0.03
Er 0.5000 0.5000 0.5000  0.00
Sc 0.0000 0.0000 0.0000  -0.10
Cr 0.7500 0.7500 0.7500  3.33

Calculated values
The value obtained for the formation energy is 144 meV per atom.



(9)
Here is a relaxed structure of SmErMgCr from Alexandria. Energies are from GGA-PBE.

Cell: 5.2207 5.2207 5.2207 Å, 60.00 60.00 60.00°
Each line ends with the local moment (μB).
Positions (direct):
Cr 0.5000 0.5000 0.5000  3.46
Er 0.2500 0.2500 0.2500  -0.08
Sm 0.7500 0.7500 0.7500  -0.09
Mg 0.0000 0.0000 0.0000  -0.03

Calculated values
The value obtained for the formation energy is 147 meV per atom.



(10)
Here is a relaxed structure of TbErMgCr from Alexandria. Energies are from GGA-PBE.

Cell: 5.1791 5.1791 5.1791 Å, 60.00 60.00 60.00°
Each line ends with the local moment (μB).
Positions (direct):
Cr 0.5000 0.5000 0.5000  3.42
Er 0.7500 0.7500 0.7500  -0.06
Tb 0.2500 0.2500 0.2500  -0.06
Mg 0.0000 0.0000 0.0000  -0.03

Calculated values
The value obtained for the formation energy is 137 meV per atom.



(11)
Here is a relaxed structure of ErTmMgCr from Alexandria. Energies are from GGA-PBE.

Cell: 5.1329 5.1329 5.1329 Å, 60.00 60.00 60.00°
Each line ends with the local moment (μB).
Positions (direct):
Cr 0.5000 0.5000 0.5000  3.37
Tm 0.7500 0.7500 0.7500  -0.05
Mg 0.0000 0.0000 0.0000  -0.03
Er 0.2500 0.2500 0.2500  -0.05

Calculated values
The value obtained for the formation energy is 135 meV per atom.



(12)
Here is a relaxed structure of YErMgCr from Alexandria. Energies are from GGA-PBE.

Cell: 5.1789 5.1789 5.1789 Å, 60.00 60.00 60.00°
Each line ends with the local moment (μB).
Positions (direct):
Y 0.2500 0.2500 0.2500  -0.06
Mg 0.0000 0.0000 0.0000  -0.03
Cr 0.5000 0.5000 0.5000  3.43
Er 0.7500 0.7500 0.7500  -0.06

Calculated values
The value obtained for the formation energy is 132 meV per atom.



(13)
Here is a relaxed structure of ErMn10Cr2 from Alexandria. Energies are from GGA-PBE.

Cell: 6.3209 6.3209 8.0455 Å, 90.00 90.00 97.35°
Each line ends with the local moment (μB).
Positions (direct):
Mn 0.1242 0.3765 0.2500  -0.11
Mn 0.3765 0.1242 0.7500  -0.11
Mn 0.8758 0.6235 0.7500  -0.11
Mn 0.1740 0.8260 0.8941  -0.66
Mn 0.4756 0.2583 0.2500  -0.17
Mn 0.8260 0.1740 0.3941  -0.66
Mn 0.2280 0.2280 0.0000  0.96
Mn 0.3978 0.6022 0.0711  0.81
Mn 0.7417 0.5244 0.2500  -0.17
Mn 0.3978 0.6022 0.4289  0.81
Mn 0.7720 0.7720 0.0000  0.96
Mn 0.6022 0.3978 0.9289  0.81
Mn 0.7720 0.7720 0.5000  0.96
Mn 0.8260 0.1740 0.1059  -0.66
Mn 0.5244 0.7417 0.7500  -0.17
Mn 0.6022 0.3978 0.5711  0.81
Mn 0.2583 0.4756 0.7500  -0.17
Mn 0.6235 0.8758 0.2500  -0.11
Mn 0.1740 0.8260 0.6059  -0.66
Mn 0.2280 0.2280 0.5000  0.96
Cr 0.5000 0.0000 0.0000  -0.01
Cr 0.0000 0.5000 0.0000  -0.01
Cr 0.5000 0.0000 0.5000  -0.01
Cr 0.0000 0.5000 0.5000  -0.01
Er 0.1204 0.8796 0.2500  -0.01
Er 0.8796 0.1204 0.7500  -0.01

Calculated values
The value obtained for the formation energy is 15 meV per atom.



(14)
Here is a relaxed structure of ErMn4Cr from Alexandria. Energies are from GGA-PBE.

Cell: 4.9128 4.9128 4.9128 Å, 60.00 60.00 60.00°
Each line ends with the local moment (μB).
Positions (direct):
Cr 0.0000 0.0000 0.0000  -2.74
Mn 0.6253 0.6253 0.1240  1.30
Mn 0.6253 0.1240 0.6253  1.30
Mn 0.1240 0.6253 0.6253  1.30
Mn 0.6253 0.6253 0.6253  1.30
Er 0.2500 0.2500 0.2500  -0.12

Calculated values
The value obtained for the formation energy is 179 meV per atom.



(15)
Here is a relaxed structure of ErMn2Cr from Alexandria. Energies are from GGA-PBE.

Cell: 2.9932 2.9932 8.6825 Å, 80.07 80.07 60.00°
Each line ends with the local moment (μB).
Positions (direct):
Mn 0.7355 0.7355 0.7934  2.79
Mn 0.2645 0.2645 0.2066  2.79
Cr 0.0000 0.0000 0.0000  -1.81
Er 0.5000 0.5000 0.5000  -0.27

Calculated values
The value obtained for the formation energy is 541 meV per atom.



(16)
Here is a relaxed structure of ErMnCr from Alexandria. Energies are from GGA-PBE.

Cell: 4.4375 5.5335 10.0172 Å, 84.90 77.20 66.36°
Each line ends with the local moment (μB).
Positions (direct):
Er 0.1439 0.7121 0.0000  0.09
Er 0.6061 0.7879 0.5000  0.09
Er 0.8561 0.2879 0.0000  0.09
Er 0.8939 0.2121 0.5000  0.09
Mn 0.1284 0.0000 0.7433  2.13
Mn 0.8716 0.0000 0.2567  2.13
Mn 0.8784 0.5000 0.2433  2.13
Mn 0.6216 0.5000 0.7567  2.13
Cr 0.1527 0.5000 0.6947  -2.40
Cr 0.4027 0.0000 0.1947  -2.40
Cr 0.3473 0.5000 0.3053  -2.40
Cr 0.5973 0.0000 0.8053  -2.40

Calculated values
The value obtained for the formation energy is 422 meV per atom.



(17)
Here is a relaxed structure of Er2Mn15Cr2 from Alexandria. Energies are from GGA-PBE.

Cell: 6.3023 6.3023 6.3023 Å, 86.29 86.29 86.29°
Each line ends with the local moment (μB).
Positions (direct):
Mn 0.3574 0.3574 0.8759  2.14
Mn 0.2767 0.0000 0.7233  -0.93
Mn 0.0000 0.7233 0.2767  -0.93
Mn 0.6426 0.6426 0.1241  2.14
Mn 0.3574 0.8759 0.3574  2.14
Mn 0.1241 0.6426 0.6426  2.14
Mn 0.0000 0.2767 0.7233  -0.93
Mn 0.7233 0.0000 0.2767  -0.93
Mn 0.5000 0.0000 0.0000  0.31
Mn 0.0000 0.0000 0.5000  0.31
Mn 0.2767 0.7233 0.0000  -0.93
Mn 0.7233 0.2767 0.0000  -0.93
Mn 0.6426 0.1241 0.6426  2.14
Mn 0.8759 0.3574 0.3574  2.14
Mn 0.0000 0.5000 0.0000  0.31
Er 0.3527 0.3527 0.3527  -0.14
Er 0.6473 0.6473 0.6473  -0.14
Cr 0.9031 0.9031 0.9031  -0.78
Cr 0.0969 0.0969 0.0969  -0.78

Calculated values
The value obtained for the formation energy is 12 meV per atom.